This record from the Alexandria database describes crystalline PmH2SN at its relaxed geometry. The functional is PBE-GGA.

a b c (Å): 3.6140 3.6140 5.1533
angles (deg): 90.00 90.00 90.00
Closest atoms and distances in Å follow each position.
Space group P4mm (No. 99)
Asymmetric unit:
Pm 0.0000 0.0000 0.0000  1 N 2.36
H 0.0000 0.5000 0.5666  2 N 1.81
S 0.5000 0.5000 0.1608  4 Pm 2.69, 4 H 2.76
N 0.0000 0.0000 0.5418  4 H 1.81

Summary:
- VASP energy: -4.710 eV per atom